The following is a PBE with a Hubbard U calculation of a relaxed structure of SbMoIO2, from Alexandria.

Cell: 4.0620 4.0620 7.8972 Å, 90.00 90.00 90.00°
Closest atoms and distances in Å follow each position.
Atoms (fractional coordinates):
I  0.0000  0.0000  0.5000  4 Sb 2.87
Sb  0.5000  0.5000  0.5000  4 I 2.87
Mo  0.0000  0.0000  0.0000  4 O 2.03
O  0.0000  0.5000  0.0000  2 Mo 2.03
O  0.5000  0.0000  0.0000  2 Mo 2.03

Results
N(E_F) (states/eV/f.u.): 3.6
E above lowest polymorph (meV per atom): 0
Calculated volume (Å³/cell): 130.3
Space group: P4/mmm (123)